# 1
Nd2TmSi3Rh4 | the Alexandria database | PBE-GGA | relaxed; ΔE_f (raw) = -0.988 eV/atom; raw total energy = -6.9563 eV/atom
1.0
4.155 0.000 0.000
0.000 4.155 0.000
0.000 0.000 10.816
Nd Tm Si Rh
2 1 3 4
Cartesian
2.077 0.000 2.522
0.000 2.077 8.294
2.077 2.077 5.408
0.000 0.000 5.408
2.077 0.000 9.539
0.000 2.077 1.277
2.077 2.077 0.000
0.000 0.000 0.000
2.077 0.000 7.116
0.000 2.077 3.700

=====

# 2
CuP3C | the Alexandria database | PBE-GGA | relaxed; raw total energy = -4.7294 eV/atom; formation enthalpy at 0 K = 1.18 eV/atom
1.0
-0.101 -2.141 -3.406
3.650 1.383 -0.978
1.691 -3.114 1.907
P C Cu
3 1 1
Cartesian
1.825 0.692 -0.489
0.845 -1.557 0.954
-0.051 -1.071 -1.703
0.000 0.000 0.000
2.620 -1.936 -1.238

=====

# 3
ReTe3O | the Alexandria database | PBE-GGA | relaxed; ΔE_f (raw) = 0.933 eV/atom; raw total energy = -4.4334 eV/atom
1.0
-1.883 -3.495 2.428
1.300 -3.000 -3.311
4.052 -0.662 2.190
Re Te O
1 3 1
Cartesian
1.734 -3.579 0.654
0.650 -1.500 -1.656
2.026 -0.331 1.095
-0.942 -1.747 1.214
0.000 0.000 0.000

=====

# 4
Sm3Zn2Pd7 | the Alexandria database | PBE-GGA | relaxed; raw total energy = -5.0941 eV/atom; formation enthalpy at 0 K = -0.67 eV/atom
1.0
4.111 0.000 0.000
0.000 4.111 0.000
-2.055 -2.055 13.692
Sm Zn Pd
3 2 7
Cartesian
0.000 0.000 8.986
2.055 2.055 4.706
2.055 2.055 0.000
0.000 0.000 3.617
2.055 2.055 10.075
0.000 0.000 0.000
2.055 0.000 11.545
0.000 2.055 11.545
0.000 2.055 2.147
2.055 0.000 2.147
0.000 0.000 6.118
2.055 2.055 7.574

=====

# 5
Ac2TbPbS6 | the Alexandria database | PBE-GGA | relaxed; ΔE_f (raw) = -1.639 eV/atom; raw total energy = -5.7710 eV/atom
1.0
-1.704 -4.363 5.222
-5.324 -3.225 -4.432
6.912 -6.621 -3.485
Ac Tb Pb S
4 2 2 12
Cartesian
-3.190 -4.717 -4.697
1.096 -9.190 -2.428
3.074 -9.493 2.003
-1.212 -5.020 -0.265
-0.852 -2.182 2.611
0.794 -4.923 -3.958
2.604 -5.492 0.869
-2.662 -1.613 -2.216
-3.748 -4.122 -1.624
-1.753 -9.983 -1.262
3.633 -10.088 -1.069
1.638 -4.227 -1.431
-1.174 -6.445 -2.900
0.719 -12.368 -2.623
1.059 -7.764 0.206
-0.835 -1.841 -0.071
-2.657 -7.202 1.144
-0.443 -9.600 -4.953
2.542 -7.008 -3.838
0.328 -4.610 2.259

=====

# 6
TaMnFe | the Alexandria database | PBE-GGA | relaxed; raw total energy = -9.4040 eV/atom; formation enthalpy at 0 K = 0.42 eV/atom
1.0
-1.475 -2.054 3.173
0.620 -3.999 0.294
2.523 -1.459 2.822
Fe Mn Ta
1 1 1
Cartesian
1.251 -5.634 4.717
0.000 0.000 0.000
0.834 -3.756 3.145